The following is a DFT calculation (GGA+U) of an optimized crystal structure of Pm2CrMoO6.

```
Pm2CrMoO6
1.0
5.633 0.000 0.000
0.000 5.633 0.000
0.000 0.000 4.240
Pm Cr Mo O
2 1 1 6
Cartesian
0.000 2.817 0.000
2.817 0.000 0.000
0.000 0.000 2.558
2.817 2.817 2.521
0.000 0.000 0.573
1.365 1.365 2.848
1.365 4.268 2.848
2.817 2.817 0.436
4.268 1.365 2.848
4.268 4.268 2.848
```

Output
DFT total energy, eV per atom: -7.799